The following is a PBE calculation of an optimized crystal structure of Hf2TiW, from Alexandria.

Calculated values
V in A^3/atom: 19.300
E in eV per cell: -39.6
ΔH_f (0 K) in kcal/mol of atoms: 6.78
Distance to the lowest polymorph of the same formula in eV/f.u.: 0.78
Density of states at the Fermi level in states/eV per cell: 6.76

a b c (Å): 3.0056 3.0056 10.0195
angles (deg): 81.37 81.37 60.00
Sites, in units of the cell vectors:
1 Hf 0.7499 0.7499 0.7502
2 W 0.0000 0.0000 0.0000
3 Hf 0.2501 0.2501 0.2498
4 Ti 0.5000 0.5000 0.5000

The following is a PBE calculation of an optimized crystal structure of Li2ScIn8, from Alexandria.

Calculated values
V in A^3/atom: 23.237
E in eV per cell: -33.9
ΔH_f (0 K) in kcal/mol of atoms: -3.91
Density of states at the Fermi level in states/eV per cell: 4.42

a b c (Å): 4.5162 7.2487 8.5512
angles (deg): 108.10 105.31 90.00
Sites, in units of the cell vectors:
1 In 0.3964 0.5381 0.7927
2 In 0.9551 0.2720 0.9102
3 In 0.6807 0.9150 0.3615
4 Sc 0.5000 0.0000 0.0000
5 In 0.1430 0.1996 0.2860
6 In 0.0449 0.7280 0.0898
7 Li 0.2297 0.6524 0.4593
8 Li 0.7703 0.3476 0.5407
9 In 0.8570 0.8004 0.7140
10 In 0.6036 0.4619 0.2073
11 In 0.3193 0.0850 0.6385

The following is a PBE calculation of an optimized crystal structure of NaI2BrO, from Alexandria.

Calculated values
Formation energy (no corrections) in eV per formula unit: -0.2
V in A^3/atom: 29.658
E in eV per cell: -11.3
Distance to the lowest polymorph of the same formula in eV/f.u.: 0.00
Density of states at the Fermi level in states/eV per cell: 2.57

a b c (Å): 6.0353 6.0353 4.0711
angles (deg): 90.00 90.00 90.00
Sites, in units of the cell vectors:
1 O 0.0000 0.0000 0.5000
2 I 0.5000 0.0000 0.0000
3 I 0.0000 0.5000 0.0000
4 Na 0.5000 0.5000 0.5000
5 Br 0.0000 0.0000 0.0000